# RbGaSi

Crystalline RbGaSi at its relaxed geometry (GGA-PBE, Alexandria via LeMat-Bulk).

Cell: 6.897 3.708 15.087 Å, 90.00 90.00 90.00°
Sites, in units of the cell vectors:
Rb 0.937 0.750 0.855
Rb 0.563 0.250 0.355
Rb 0.437 0.750 0.645
Rb 0.063 0.250 0.145
Si 0.879 0.750 0.503
Si 0.379 0.750 0.997
Si 0.621 0.250 0.003
Si 0.121 0.250 0.497
Ga 0.934 0.250 0.638
Ga 0.434 0.250 0.862
Ga 0.066 0.750 0.362
Ga 0.566 0.750 0.138

- space-group type = Pnma, No. 62
- spin magnetization (μB/cell) = 0.0
- raw formation energy (kJ per mole of atoms) = 3